No. 1
Compound: NaTl2Ag2
Source: Alexandria
Functional: PBE
Structure: optimized geometry

Cell and atoms, written as POSCAR:
```
NaTl2Ag2
1.0
5.512 -2.330 0.000
5.512 2.330 0.000
-2.312 0.000 5.222
Na Tl Ag
1 2 2
Direct
0.000 0.000 0.000
0.353 0.353 0.451
0.647 0.647 0.549
0.278 0.278 0.890
0.722 0.722 0.110
```

Summary:
The calculation puts the formation enthalpy at 0 K at 0.0240 eV/atom. The calculation puts the energy above the lowest structure with this stoichiometry at 0.0 meV/atom.



No. 2
Compound: Na5TlAg
Source: Alexandria
Functional: PBE
Structure: optimized geometry

Cell and atoms, written as POSCAR:
```
Na5TlAg
1.0
-3.227 3.884 4.447
3.227 -3.884 4.447
3.227 3.884 -4.447
Na Tl Ag
5 1 1
Direct
0.000 0.000 0.000
0.120 0.428 0.692
0.310 0.033 0.723
0.310 0.587 0.277
0.736 0.428 0.308
0.656 0.656 0.000
0.622 0.122 0.500
```

Summary:
The calculation puts the formation enthalpy at 0 K at 0.1288 eV/atom. The calculation puts the energy above the lowest structure with this stoichiometry at 164.8 meV/atom.



No. 3
Compound: Na5Tl4Ag
Source: Alexandria
Functional: PBE
Structure: optimized geometry

Cell and atoms, written as POSCAR:
```
Na5Tl4Ag
1.0
3.652 0.000 0.000
0.000 3.652 0.000
0.000 0.000 20.294
Na Tl Ag
5 4 1
Direct
0.000 0.000 0.000
0.000 0.000 0.209
0.000 0.000 0.417
0.000 0.000 0.583
0.000 0.000 0.791
0.500 0.500 0.105
0.500 0.500 0.315
0.500 0.500 0.685
0.500 0.500 0.895
0.500 0.500 0.500
```

Summary:
The calculation puts the formation enthalpy at 0 K at -0.0714 eV/atom.